# LiTiV2CrO10 (PBE+U, relaxed)
data_LiTiV2CrO10
_chemical_formula_sum 'Li1 Ti1 V2 Cr1 O10'
_symmetry_space_group_name_H-M 'P -4 m 2'
_symmetry_Int_Tables_number 115
_cell_length_a 6.481
_cell_length_b 6.481
_cell_length_c 5.417
_cell_angle_alpha 90.00
_cell_angle_beta 90.00
_cell_angle_gamma 90.00
loop_
_symmetry_equiv_pos_as_xyz
'x,y,z'
'y,-x,-z'
'-x,-y,z'
'-y,x,-z'
'-x,y,z'
'-y,-x,-z'
'x,-y,z'
'y,x,-z'
loop_
_atom_site_label
_atom_site_type_symbol
_atom_site_fract_x
_atom_site_fract_y
_atom_site_fract_z
Li1 Li 0.000 0.000 0.000
Ti1 Ti 0.000 0.000 0.500
V1 V 0.000 0.500 0.626
Cr1 Cr 0.500 0.500 0.500
O1 O 0.000 0.216 0.718
O2 O 0.000 0.500 0.328
O3 O 0.290 0.500 0.693
# - V (A^3/atom) = 15.17
# - ΔE to the lowest computed polymorph (meV/atom) = 47